(1)
A plane-wave DFT calculation with PBEsol was carried out for crystalline TcNi2Rh at its relaxed geometry.

The structure belongs to space group Fm-3m (No. 225); the cell edges are 5.776, 5.776 and 5.776 Å and the angles 90.00°, 90.00° and 90.00°. The distinct sites, in fractional coordinates, are Tc at (0.000, 0.000, 0.000), Ni at (0.250, 0.250, 0.250) and Rh at (0.000, 0.000, 0.500).

The crystal system is cubic. For the total energy, the calculation gives -7.800 eV/atom. For the size of the total moment, the calculation gives 0.000 μB per atom. As for the density: 10.97 g/cm3.

***

(2)
A plane-wave DFT calculation with PBEsol was carried out for crystalline TcNi2Rh at its relaxed geometry.

The structure belongs to space group P4/mmm (No. 123); the cell edges are 4.247, 4.247 and 2.681 Å and the angles 90.00°, 90.00° and 90.00°. The distinct sites, in fractional coordinates, are Tc at (0.000, 0.000, 0.000), Ni at (0.000, 0.500, 0.500) and Rh at (0.500, 0.500, 0.000).

The crystal system is tetragonal. For the total energy, the calculation gives -7.773 eV/atom. For the size of the total moment, the calculation gives 0.000 μB per atom. As for the density: 10.93 g/cm3.

***

(3)
A plane-wave DFT calculation with PBEsol was carried out for crystalline TcNi2Rh at its relaxed geometry.

The structure belongs to space group I-4m2 (No. 119); the cell edges are 3.582, 3.582 and 7.483 Å and the angles 90.00°, 90.00° and 90.00°. The distinct sites, in fractional coordinates, are Tc at (0.000, 0.000, 0.000), Ni at (0.000, 0.000, 0.500), Ni at (0.000, 0.500, 0.750) and Rh at (0.000, 0.500, 0.250).

The crystal system is tetragonal. For the total energy, the calculation gives -7.975 eV/atom. For the size of the total moment, the calculation gives 0.000 μB per atom. As for the density: 11.01 g/cm3.

***

(4)
A plane-wave DFT calculation with PBEsol was carried out for crystalline NiTe2Rh at its relaxed geometry.

The structure belongs to space group R-3m (No. 166, hexagonal axes); the cell edges are 3.7792, 3.7792 and 22.9668 Å and the angles 90.00°, 90.00° and 120.00°. The distinct sites, in fractional coordinates, are Ni at (0.0000, 0.0000, 0.0000), Te at (0.0000, 0.0000, 0.1036) and Rh at (0.0000, 0.0000, 0.5000).

For the uncorrected formation energy, the calculation gives 122 meV/atom. The crystal system is trigonal. For the total energy, the calculation gives -5.215 eV/atom. For the size of the total moment, the calculation gives 0.103 μB per atom. As for the density: 7.31 g/cm3.